The following is a DFT calculation (GGA+U) of a geometry-optimized PuMnHgO6 structure.

## Properties
total DFT energy (no corrections)	-7.3194	eV per atom
calculated volume	245.15	Å³ per cell

Cell: 5.347 5.347 9.900 Å, 90.00 90.00 120.00°
Site moments in Bohr magnetons follow the coordinates.
Sites, in units of the cell vectors:
Pu 0.333 0.667 0.250  2.31
Pu 0.667 0.333 0.750  2.31
O 0.989 0.358 0.142  -0.13
O 0.011 0.642 0.858  -0.13
O 0.370 0.011 0.142  -0.13
O 0.370 0.358 0.358  -0.13
O 0.358 0.989 0.642  -0.13
O 0.989 0.630 0.358  -0.13
O 0.642 0.011 0.358  -0.13
O 0.358 0.370 0.858  -0.13
O 0.630 0.642 0.642  -0.13
O 0.630 0.989 0.858  -0.13
O 0.011 0.370 0.642  -0.13
O 0.642 0.630 0.142  -0.13
Mn 0.667 0.333 0.250  3.44
Mn 0.333 0.667 0.750  3.44
Hg 0.000 0.000 0.000  0.00
Hg 0.000 0.000 0.500  0.00